# 1
# Tm2VRe3, optimized geometry, DFT PBE-GGA
data_Tm2VRe3
_cell_length_a 5.3775
_cell_length_b 5.3775
_cell_length_c 5.3775
_cell_angle_alpha 59.81
_cell_angle_beta 59.81
_cell_angle_gamma 59.81
_space_group_name_H-M_alt 'P 1'
_space_group_IT_number 1
_space_group_name_Hall 'P 1'
loop_
_atom_site_label
_atom_site_type_symbol
_atom_site_fract_x
_atom_site_fract_y
_atom_site_fract_z
Tm1 Tm 0.1238 0.1238 0.1238
Tm2 Tm 0.8762 0.8762 0.8762
V1 V 0.5000 0.5000 0.5000
Re1 Re 0.0000 0.5000 0.5000
Re2 Re 0.5000 0.0000 0.5000
Re3 Re 0.5000 0.5000 0.0000
# - D(E_F): 0.88 states/eV/atom
# - Symmetry: R-3m, No. 166
# - Energy of formation from the pure elements: -23.5 kJ per mole of atoms
# - Total magnetization: 0.0 μB per cell
# - Electronic total energy: -9.478 eV per atom

=====

# 2
# Ac2Al4GaPd3, optimized geometry, DFT PBE-GGA
data_Ac2Al4GaPd3
_cell_length_a 4.4756
_cell_length_b 4.4756
_cell_length_c 10.5232
_cell_angle_alpha 90.00
_cell_angle_beta 90.00
_cell_angle_gamma 90.00
_space_group_name_H-M_alt 'P 1'
_space_group_IT_number 1
_space_group_name_Hall 'P 1'
loop_
_atom_site_label
_atom_site_type_symbol
_atom_site_fract_x
_atom_site_fract_y
_atom_site_fract_z
Ac1 Ac 0.0000 0.5000 0.2481
Ac2 Ac 0.5000 0.0000 0.7519
Al1 Al 0.0000 0.0000 0.5000
Al2 Al 0.0000 0.5000 0.8678
Al3 Al 0.5000 0.0000 0.1322
Al4 Al 0.5000 0.5000 0.5000
Ga1 Ga 0.5000 0.5000 0.0000
Pd1 Pd 0.0000 0.0000 0.0000
Pd2 Pd 0.0000 0.5000 0.6242
Pd3 Pd 0.5000 0.0000 0.3758
# - D(E_F): 0.67 states/eV/atom
# - Symmetry: P-4m2, No. 115
# - Energy of formation from the pure elements: -72.8 kJ per mole of atoms
# - Total magnetization: 0.0 μB per cell
# - Electronic total energy: -4.934 eV per atom

=====

> total magnetization of number 2 (Ac2Al4GaPd3)?

0.0 μB per cell

=====

> Which value of energy of formation from the pure elements does entry 1 give?

-23.5 kJ per mole of atoms